1.
Compound: InIrPb
Source: Alexandria via LeMat-Bulk
Functional: GGA-PBE
Structure: relaxed

**Final energy**: -0.1783 hartree per atom
**Theoretical density**: 12.58 g cm⁻³
**Space group**: P3m1, No. 156
**Energy above the most stable polymorph in this dataset**: 0.237 eV/atom

a = 3.4283 Å, b = 3.4283 Å, c = 6.6706 Å
α = 90.00°, β = 90.00°, γ = 120.00°
With the nearest neighbours (Å) after each atom.
Positions (direct):
1 In 0.0000 0.0000 0.0000  3 Ir 2.74
2 Ir 0.6667 0.3333 0.2847  3 In 2.74, 3 Pb 2.82
3 Pb 0.3333 0.6667 0.5868  3 Ir 2.82

2.
Compound: AlPbCl5
Source: Alexandria via LeMat-Bulk
Functional: GGA-PBE
Structure: relaxed

**Final energy**: -0.1372 hartree per atom
**Theoretical density**: 2.79 g cm⁻³
**Space group**: P-1, No. 2
**ΔE_f (raw)**: -1.35 eV/atom

a = 7.3381 Å, b = 7.3442 Å, c = 10.4028 Å
α = 108.48°, β = 109.74°, γ = 94.14°
With the nearest neighbours (Å) after each atom.
Positions (direct):
1 Al 0.1574 0.4076 0.2501  4 Cl 2.16-2.17
2 Al 0.8426 0.5924 0.7499  4 Cl 2.16-2.17
3 Pb 0.0000 0.0000 0.5000  6 Cl 2.79-3.02
4 Pb 0.5000 0.0000 0.0000  6 Cl 2.79-3.02
5 Cl 0.1173 0.7387 0.9351  1 Al 2.16
6 Cl 0.1785 0.7220 0.3208  1 Al 2.17
7 Cl 0.1954 0.3185 0.4353  1 Al 2.16
8 Cl 0.3443 0.0943 0.7498  2 Pb 2.79
9 Cl 0.4012 0.3575 0.1795  1 Al 2.17
10 Cl 0.5988 0.6425 0.8205  1 Al 2.17
11 Cl 0.6557 0.9057 0.2502  2 Pb 2.79
12 Cl 0.8046 0.6815 0.5647  1 Al 2.16
13 Cl 0.8215 0.2780 0.6792  1 Al 2.17
14 Cl 0.8827 0.2613 0.0649  1 Al 2.16

3.
Compound: Ac3Pr13
Source: Alexandria via LeMat-Bulk
Functional: GGA-PBE
Structure: relaxed

**Final energy**: -0.1696 hartree per atom
**Theoretical density**: 6.86 g cm⁻³
**Space group**: Amm2, No. 38
**Energy above the most stable polymorph in this dataset**: 0.020 eV/atom

a = 7.5812 Å, b = 8.9699 Å, c = 8.9699 Å
α = 86.25°, β = 90.00°, γ = 90.00°
With the nearest neighbours (Å) after each atom.
Positions (direct):
1 Ac 0.0000 0.0000 0.0000  10 Pr 3.73-3.82, 2 Ac 3.86
2 Ac 0.2517 0.7437 0.7437  3 Ac 3.76-3.86, 9 Pr 3.77-3.85
3 Ac 0.7483 0.7437 0.7437  3 Ac 3.76-3.86, 9 Pr 3.77-3.85
4 Pr 0.0000 0.4132 0.9157  3 Ac 3.73-3.77, 9 Pr 3.76-3.82
5 Pr 0.0000 0.4919 0.4919  10 Pr 3.70-3.82, 2 Ac 3.81
6 Pr 0.0000 0.9157 0.4132  3 Ac 3.73-3.77, 9 Pr 3.76-3.82
7 Pr 0.2512 0.2492 0.2492  11 Pr 3.70-3.81, 1 Ac 3.78
8 Pr 0.2523 0.1665 0.6606  10 Pr 3.71-3.83, 2 Ac 3.82
9 Pr 0.2523 0.6606 0.1665  10 Pr 3.71-3.83, 2 Ac 3.82
10 Pr 0.5000 0.9998 0.9998  8 Pr 3.68-3.80, 4 Ac 3.79-3.85
11 Pr 0.5000 0.4073 0.9163  10 Pr 3.68-3.82, 2 Ac 3.80
12 Pr 0.5000 0.4933 0.4933  10 Pr 3.71-3.82, 2 Ac 3.78
13 Pr 0.5000 0.9163 0.4073  10 Pr 3.68-3.82, 2 Ac 3.80
14 Pr 0.7477 0.1665 0.6606  10 Pr 3.71-3.83, 2 Ac 3.82
15 Pr 0.7477 0.6606 0.1665  10 Pr 3.71-3.83, 2 Ac 3.82
16 Pr 0.7488 0.2492 0.2492  11 Pr 3.70-3.81, 1 Ac 3.78